No. 1
Compound: RhWAu2
Source: Alexandria
Functional: PBE
Structure: optimized geometry

Calculated values
VASP energy, eV/cell: -25.3
Polymorph energy (0 for the lowest one), meV per atom: 349
Density of states at the Fermi level, states/eV/atom: 0.94
Formation energy from the elements, meV per atom: 396

a = 4.534 Å, b = 4.534 Å, c = 4.534 Å
α = 60.00°, β = 60.00°, γ = 60.00°
Positions (direct):
Rh  0.500  0.500  0.500
W  0.750  0.750  0.750
Au  0.000  0.000  0.000
Au  0.250  0.250  0.250



No. 2
Compound: Ho3Er4Tm8
Source: Alexandria
Functional: PBE
Structure: optimized geometry

Calculated values
VASP energy, eV/cell: -61.5
Polymorph energy (0 for the lowest one), meV per atom: 266
Density of states at the Fermi level, states/eV/atom: 1.88
Formation energy from the elements, meV per atom: 417

a = 6.604 Å, b = 9.149 Å, c = 9.149 Å
α = 88.23°, β = 111.14°, γ = 111.14°
Positions (direct):
Ho  0.500  0.500  0.000
Ho  0.500  0.000  0.500
Ho  0.500  0.500  0.500
Er  0.500  0.000  0.000
Er  0.000  0.500  0.000
Er  0.000  0.000  0.000
Er  0.000  0.000  0.500
Tm  0.527  0.266  0.266
Tm  0.000  0.639  0.361
Tm  0.006  0.265  0.265
Tm  0.500  0.749  0.251
Tm  0.500  0.251  0.749
Tm  0.994  0.735  0.735
Tm  0.000  0.361  0.639
Tm  0.473  0.734  0.734



No. 3
Compound: SrCaCu2As2
Source: Alexandria
Functional: PBE
Structure: optimized geometry

Calculated values
VASP energy, eV/cell: -26.1
Density of states at the Fermi level, states/eV/atom: 0.08
Formation energy from the elements, meV per atom: -815

a = 4.238 Å, b = 4.238 Å, c = 8.292 Å
α = 90.00°, β = 90.00°, γ = 120.00°
Positions (direct):
Sr  0.000  0.000  0.000
Ca  0.000  0.000  0.500
Cu  0.333  0.667  0.734
Cu  0.667  0.333  0.266
As  0.333  0.667  0.261
As  0.667  0.333  0.739



No. 4
Compound: PmTm2Rh
Source: Alexandria
Functional: PBE
Structure: optimized geometry

Calculated values
VASP energy, eV/cell: -21.9
Polymorph energy (0 for the lowest one), meV per atom: 321
Density of states at the Fermi level, states/eV/atom: 1.10
Formation energy from the elements, meV per atom: -207

a = 4.618 Å, b = 4.618 Å, c = 6.448 Å
α = 69.02°, β = 69.02°, γ = 60.00°
Positions (direct):
Tm  0.782  0.782  0.653
Tm  0.218  0.218  0.347
Rh  0.500  0.500  0.500
Pm  0.000  0.000  0.000



No. 5
Compound: LiZnTeO4
Source: Alexandria
Functional: PBE
Structure: optimized geometry

Calculated values
VASP energy, eV/cell: -34.5
Density of states at the Fermi level, states/eV/atom: 0.35
Energy relative to the elements, uncorrected, meV per atom: -1194

a = 4.787 Å, b = 4.787 Å, c = 5.772 Å
α = 114.50°, β = 114.50°, γ = 90.00°
Last column: magnetic moment on the atom in μB.
Positions (direct):
Li  0.000  0.000  0.000  0.01
Zn  0.250  0.750  0.500  0.01
Te  0.500  0.500  0.000  0.09
O  0.173  0.121  0.774  0.12
O  0.347  0.827  0.226  0.12
O  0.602  0.653  0.774  0.12
O  0.879  0.398  0.226  0.12



No. 6
Compound: Tb2HoSb
Source: Alexandria
Functional: PBE
Structure: optimized geometry

Calculated values
VASP energy, eV/cell: -40.3
Polymorph energy (0 for the lowest one), meV per atom: 0
Density of states at the Fermi level, states/eV/atom: 1.05
Energy relative to the elements, uncorrected, meV per atom: -543

a = 4.572 Å, b = 4.527 Å, c = 11.488 Å
α = 90.00°, β = 101.48°, γ = 90.00°
Positions (direct):
Tb  0.565  0.250  0.129
Tb  0.435  0.750  0.871
Tb  0.061  0.750  0.123
Tb  0.939  0.250  0.877
Ho  0.694  0.750  0.387
Ho  0.306  0.250  0.613
Sb  0.170  0.250  0.339
Sb  0.830  0.750  0.661



No. 7
Compound: LaHoNi2Ge2
Source: Alexandria
Functional: PBE
Structure: optimized geometry

Calculated values
VASP energy, eV/cell: -34.8
Density of states at the Fermi level, states/eV/atom: 0.90
Formation energy from the elements, meV per atom: -749

a = 4.283 Å, b = 4.283 Å, c = 7.373 Å
α = 90.00°, β = 90.00°, γ = 120.00°
Positions (direct):
La  0.000  0.000  0.000
Ho  0.000  0.000  0.500
Ni  0.667  0.333  0.297
Ni  0.333  0.667  0.703
Ge  0.667  0.333  0.723
Ge  0.333  0.667  0.277



No. 8
Compound: TaCoSeBr2
Source: Alexandria
Functional: PBE
Structure: optimized geometry

Calculated values
VASP energy, eV/cell: -21.8
Polymorph energy (0 for the lowest one), meV per atom: 243
Density of states at the Fermi level, states/eV/atom: 0.85
Energy relative to the elements, uncorrected, meV per atom: 798

a = 4.689 Å, b = 4.689 Å, c = 4.842 Å
α = 90.00°, β = 90.00°, γ = 90.00°
Last column: magnetic moment on the atom in μB.
Positions (direct):
Co  0.000  0.000  0.000  -0.78
Se  0.000  0.000  0.500  -0.13
Br  0.000  0.500  0.000  -0.06
Br  0.500  0.000  0.000  -0.06
Ta  0.500  0.500  0.500  1.92



No. 9
Compound: AcTb2Pr2Dy2
Source: Alexandria
Functional: PBE
Structure: optimized geometry

Calculated values
VASP energy, eV/cell: -31.9
Density of states at the Fermi level, states/eV/atom: 1.56
Formation energy from the elements, meV per atom: 39

a = 5.180 Å, b = 6.357 Å, c = 8.182 Å
α = 97.58°, β = 90.00°, γ = 114.05°
Positions (direct):
Ac  0.000  0.000  0.000
Tb  0.574  0.148  0.705
Tb  0.426  0.852  0.295
Pr  0.715  0.430  0.152
Pr  0.285  0.570  0.848
Dy  0.142  0.284  0.433
Dy  0.858  0.716  0.567



No. 10
Compound: RbTlSbCl6
Source: Alexandria
Functional: PBE
Structure: optimized geometry

Calculated values
VASP energy, eV/cell: -28.2
Density of states at the Fermi level, states/eV/atom: 0.65
Energy relative to the elements, uncorrected, meV per atom: -1073

a = 7.677 Å, b = 7.676 Å, c = 6.495 Å
α = 90.00°, β = 90.00°, γ = 60.00°
Positions (direct):
Rb  0.667  0.667  0.500
Tl  0.000  0.000  0.000
Sb  0.333  0.333  0.500
Cl  0.069  0.320  0.271
Cl  0.320  0.069  0.729
Cl  0.611  0.320  0.729
Cl  0.069  0.611  0.729
Cl  0.320  0.611  0.271
Cl  0.611  0.069  0.271



No. 11
Compound: KAl2SiW
Source: Alexandria
Functional: PBE
Structure: optimized geometry

Calculated values
VASP energy, eV/cell: -25.8
Density of states at the Fermi level, states/eV/atom: 0.61
Energy relative to the elements, uncorrected, meV per atom: 235

a = 5.011 Å, b = 4.820 Å, c = 5.011 Å
α = 90.00°, β = 90.00°, γ = 90.00°
Positions (direct):
K  0.500  0.500  0.500
Si  0.000  0.500  0.000
W  0.000  0.000  0.000
Al  0.000  0.000  0.500
Al  0.500  0.000  0.000



No. 12
Compound: BaPb3Br
Source: Alexandria
Functional: PBE
Structure: optimized geometry

Calculated values
VASP energy, eV/cell: -14.8
Polymorph energy (0 for the lowest one), meV per atom: 0
Density of states at the Fermi level, states/eV/atom: 1.12
Energy relative to the elements, uncorrected, meV per atom: -25

a = 5.852 Å, b = 5.852 Å, c = 5.852 Å
α = 90.00°, β = 90.00°, γ = 90.00°
Positions (direct):
Pb  0.000  0.500  0.000
Pb  0.000  0.000  0.500
Pb  0.500  0.000  0.000
Ba  0.500  0.500  0.500
Br  0.000  0.000  0.000